1.
YAsPb2: relaxed, PBE-GGA.

Cell lengths 3.536, 3.536, 9.491 Å; angles 90.00, 90.00, 110.32 degrees
Positions (direct):
Y (0.000, 0.000, 0.000)
As (0.000, 0.000, 0.500)
Pb (0.500, 0.500, 0.270)
Pb (0.500, 0.500, 0.730)

V (Å³/cell): 111.30
ΔE_f (meV/atom): 39

---

2.
HfPd6Au3: relaxed, PBE-GGA.

Cell lengths 9.017, 4.048, 9.050 Å; angles 90.00, 90.75, 90.00 degrees
Positions (direct):
Hf (0.158, 0.250, 0.201)
Hf (0.842, 0.750, 0.799)
Pd (0.049, 0.250, 0.901)
Pd (0.053, 0.750, 0.396)
Pd (0.245, 0.250, 0.497)
Pd (0.247, 0.750, 0.009)
Pd (0.345, 0.750, 0.300)
Pd (0.448, 0.250, 0.102)
Pd (0.552, 0.750, 0.898)
Pd (0.655, 0.250, 0.700)
Pd (0.753, 0.250, 0.991)
Pd (0.755, 0.750, 0.503)
Pd (0.947, 0.250, 0.604)
Pd (0.951, 0.750, 0.099)
Au (0.146, 0.750, 0.701)
Au (0.352, 0.250, 0.806)
Au (0.450, 0.750, 0.599)
Au (0.550, 0.250, 0.401)
Au (0.648, 0.750, 0.194)
Au (0.854, 0.250, 0.299)

Energy relative to the lowest polymorph listed for this composition (meV per atom): 0
V (Å³/cell): 330.26
ΔE_f (meV/atom): -407

---

3.
Li2NbAgS4: relaxed, PBE-GGA.

Cell lengths 7.990, 6.933, 6.572 Å; angles 90.00, 90.00, 90.00 degrees
Positions (direct):
Li (0.247, 0.169, 0.000)
Li (0.253, 0.831, 0.500)
Li (0.747, 0.831, 0.500)
Li (0.753, 0.169, 0.000)
Nb (0.000, 0.675, 0.998)
Nb (0.500, 0.325, 0.498)
Ag (0.000, 0.349, 0.504)
Ag (0.500, 0.651, 0.004)
S (0.000, 0.357, 0.892)
S (0.000, 0.691, 0.347)
S (0.236, 0.829, 0.878)
S (0.264, 0.171, 0.378)
S (0.500, 0.309, 0.847)
S (0.500, 0.643, 0.392)
S (0.736, 0.171, 0.378)
S (0.764, 0.829, 0.878)

Formation energy without anion corrections (meV/atom): -912
V (Å³/cell): 364.05

---

4.
CsGePt2Pb: relaxed, PBE-GGA.

Cell lengths 5.250, 5.250, 5.704 Å; angles 90.00, 90.00, 90.00 degrees
Positions (direct):
Cs (0.000, 0.000, 0.000)
Ge (0.000, 0.000, 0.500)
Pt (0.000, 0.500, 0.000)
Pt (0.500, 0.000, 0.000)
Pb (0.500, 0.500, 0.500)

Energy relative to the lowest polymorph listed for this composition (meV per atom): 1969
V (Å³/cell): 157.25
ΔE_f (meV/atom): 1642

---

5.
TiCrCd2S: relaxed, PBE-GGA.

Cell lengths 4.961, 4.961, 4.450 Å; angles 90.00, 90.00, 90.00 degrees
Positions (direct):
Ti (0.000, 0.000, 0.000)
Cr (0.500, 0.500, 0.000)
Cd (0.000, 0.500, 0.500)
Cd (0.500, 0.000, 0.500)
S (0.000, 0.000, 0.500)

Formation energy without anion corrections (meV/atom): 939
V (Å³/cell): 109.50

---

6.
MgTcPt2: relaxed, PBE-GGA.

Cell lengths 2.780, 4.001, 5.650 Å; angles 90.00, 90.00, 90.00 degrees
Positions (direct):
Mg (0.000, 0.000, 0.000)
Tc (0.500, 0.500, 0.700)
Pt (0.000, 0.000, 0.509)
Pt (0.500, 0.500, 0.206)

V (Å³/cell): 62.85
ΔE_f (meV/atom): -249